Density functional theory data (PBE-GGA) for a geometry-optimized KSr2Ca structure.

## Properties
* calculated volume: 54.040 Å³/atom
* size of the total moment: 0.0 μB per cell
* space-group type: Fm-3m
* uncorrected energy: -1.5010 eV per atom

The structure in POSCAR format:
```
KSr2Ca
1.0
-3.3761 -3.0330 4.9781
-4.1615 3.5719 3.9118
-6.6617 -0.8714 -0.4910
Sr Ca K
2 1 1
Cartesian
-3.5498 -0.0831 2.0997
-10.6495 -0.2494 6.2992
-7.0997 -0.1663 4.1995
0.0000 0.0000 0.0000
```

=====

Density functional theory data (PBE-GGA) for a geometry-optimized Ce2PuSb3Rh4 structure.

## Properties
* calculated volume: 22.051 Å³/atom
* size of the total moment: 7.5 μB per cell
* uncorrected formation energy: -0.74 eV/atom
* space-group type: P-4m2
* uncorrected energy: -7.5331 eV per atom

The structure in POSCAR format:
```
Ce2PuSb3Rh4
1.0
-1.6325 -3.7804 1.6556
3.3865 -0.2094 2.8610
-5.9499 5.8410 7.4703
Ce Pu Sb Rh
2 1 3 4
Cartesian
-2.2272 -0.5051 2.5993
-2.8457 4.3512 7.1294
-2.0980 0.9256 5.9935
-2.9749 2.9205 3.7352
-6.0035 3.2021 7.3405
0.9306 0.6440 2.3881
0.8770 -1.9949 2.2583
0.0000 0.0000 0.0000
-4.6435 1.8670 5.6331
-0.4294 1.9791 4.0955
```

=====

Density functional theory data (PBE-GGA) for a geometry-optimized LaAl3Au3 structure.

## Properties
* calculated volume: 20.133 Å³/atom
* size of the total moment: 0.0 μB per cell
* space-group type: P2_1/m
* uncorrected energy: -4.2328 eV per atom

The structure in POSCAR format:
```
LaAl3Au3
1.0
-4.0273 -0.4066 -2.2262
2.9203 -4.5776 -4.4470
-4.5572 -2.9249 8.7786
La Al Au
2 6 6
Cartesian
-5.1304 -3.4902 2.7291
-0.5338 -4.4189 -0.6237
-5.2297 -6.6852 3.4924
-3.2883 -2.4388 -0.7954
-3.9109 -7.2985 1.2185
-0.4345 -1.2238 -1.3870
-2.3759 -5.4703 2.9008
-1.7533 -0.6106 0.8869
-1.5134 -5.4809 -3.4508
-2.0138 -2.4873 -3.0922
-3.5557 -4.9442 0.1460
-4.1508 -2.4282 5.5561
-3.6504 -5.4218 5.1975
-2.1085 -2.9649 1.9594
```

=====

Copy entry 3 word for word.
Density functional theory data (PBE-GGA) for a geometry-optimized LaAl3Au3 structure.

## Properties
* calculated volume: 20.133 Å³/atom
* size of the total moment: 0.0 μB per cell
* space-group type: P2_1/m
* uncorrected energy: -4.2328 eV per atom

The structure in POSCAR format:
```
LaAl3Au3
1.0
-4.0273 -0.4066 -2.2262
2.9203 -4.5776 -4.4470
-4.5572 -2.9249 8.7786
La Al Au
2 6 6
Cartesian
-5.1304 -3.4902 2.7291
-0.5338 -4.4189 -0.6237
-5.2297 -6.6852 3.4924
-3.2883 -2.4388 -0.7954
-3.9109 -7.2985 1.2185
-0.4345 -1.2238 -1.3870
-2.3759 -5.4703 2.9008
-1.7533 -0.6106 0.8869
-1.5134 -5.4809 -3.4508
-2.0138 -2.4873 -3.0922
-3.5557 -4.9442 0.1460
-4.1508 -2.4282 5.5561
-3.6504 -5.4218 5.1975
-2.1085 -2.9649 1.9594
```

=====

Repeat the second record exactly.
Density functional theory data (PBE-GGA) for a geometry-optimized Ce2PuSb3Rh4 structure.

## Properties
* calculated volume: 22.051 Å³/atom
* size of the total moment: 7.5 μB per cell
* uncorrected formation energy: -0.74 eV/atom
* space-group type: P-4m2
* uncorrected energy: -7.5331 eV per atom

The structure in POSCAR format:
```
Ce2PuSb3Rh4
1.0
-1.6325 -3.7804 1.6556
3.3865 -0.2094 2.8610
-5.9499 5.8410 7.4703
Ce Pu Sb Rh
2 1 3 4
Cartesian
-2.2272 -0.5051 2.5993
-2.8457 4.3512 7.1294
-2.0980 0.9256 5.9935
-2.9749 2.9205 3.7352
-6.0035 3.2021 7.3405
0.9306 0.6440 2.3881
0.8770 -1.9949 2.2583
0.0000 0.0000 0.0000
-4.6435 1.8670 5.6331
-0.4294 1.9791 4.0955
```